This record from Alexandria describes an optimized crystal structure of Th4TlBi2. The functional is PBE.

- VASP energy: -5.89 eV per atom
- M_tot: 0.000 μB/atom
- Energy of formation: -202 meV/atom

Lattice parameters (Å, degrees): 6.238 6.695 10.968 90.00 102.37 90.00
Fractional positions:
Th1 0.013 0.250 0.332
Th2 0.143 0.250 0.943
Th3 0.445 0.504 0.235
Th4 0.445 0.996 0.235
Th5 0.555 0.004 0.765
Th6 0.555 0.496 0.765
Th7 0.857 0.750 0.057
Th8 0.987 0.750 0.668
Tl1 0.081 0.250 0.646
Tl2 0.919 0.750 0.354
Bi1 0.304 0.750 0.958
Bi2 0.401 0.750 0.497
Bi3 0.599 0.250 0.503
Bi4 0.696 0.250 0.042